CaMgVF6 (GGA+U, relaxed); E = -5.8477 eV/atom; crystal system = trigonal
1.0
5.384 0.000 0.000
-2.692 4.662 0.000
0.000 0.000 9.752
Ca Mg V F
2 2 2 12
Direct
0.000 0.000 0.000 Ca
0.000 0.000 0.500 Ca
0.333 0.667 0.250 Mg
0.667 0.333 0.750 Mg
0.333 0.667 0.750 V
0.667 0.333 0.250 V
0.015 0.356 0.138 F
0.015 0.659 0.362 F
0.341 0.356 0.362 F
0.341 0.985 0.138 F
0.356 0.015 0.638 F
0.356 0.341 0.862 F
0.644 0.659 0.138 F
0.644 0.985 0.362 F
0.659 0.015 0.862 F
0.659 0.644 0.638 F
0.985 0.341 0.638 F
0.985 0.644 0.862 F

---

Mn4ZnO9 (GGA+U, relaxed); E = -6.4064 eV/atom; crystal system = tetragonal
1.0
8.497 0.000 0.000
0.000 8.497 0.000
0.000 0.000 4.723
Mn Zn O
8 2 18
Direct
0.038 0.846 0.129 Mn
0.154 0.538 0.871 Mn
0.346 0.962 0.871 Mn
0.462 0.654 0.129 Mn
0.538 0.346 0.871 Mn
0.654 0.038 0.129 Mn
0.846 0.462 0.129 Mn
0.962 0.154 0.871 Mn
0.250 0.250 0.469 Zn
0.750 0.750 0.531 Zn
0.024 0.188 0.520 O
0.035 0.358 0.001 O
0.142 0.035 0.001 O
0.188 0.476 0.520 O
0.250 0.750 0.000 O
0.312 0.024 0.520 O
0.358 0.465 0.001 O
0.465 0.142 0.001 O
0.476 0.312 0.520 O
0.524 0.688 0.480 O
0.535 0.858 0.999 O
0.642 0.535 0.999 O
0.688 0.976 0.480 O
0.750 0.250 0.000 O
0.812 0.524 0.480 O
0.858 0.965 0.999 O
0.965 0.642 0.999 O
0.976 0.812 0.480 O

---

Question: Look up the E of the second one.
Answer: -6.4064 eV/atom

---

Please write out number 2 again, unchanged.
Mn4ZnO9 (GGA+U, relaxed); E = -6.4064 eV/atom; crystal system = tetragonal
1.0
8.497 0.000 0.000
0.000 8.497 0.000
0.000 0.000 4.723
Mn Zn O
8 2 18
Direct
0.038 0.846 0.129 Mn
0.154 0.538 0.871 Mn
0.346 0.962 0.871 Mn
0.462 0.654 0.129 Mn
0.538 0.346 0.871 Mn
0.654 0.038 0.129 Mn
0.846 0.462 0.129 Mn
0.962 0.154 0.871 Mn
0.250 0.250 0.469 Zn
0.750 0.750 0.531 Zn
0.024 0.188 0.520 O
0.035 0.358 0.001 O
0.142 0.035 0.001 O
0.188 0.476 0.520 O
0.250 0.750 0.000 O
0.312 0.024 0.520 O
0.358 0.465 0.001 O
0.465 0.142 0.001 O
0.476 0.312 0.520 O
0.524 0.688 0.480 O
0.535 0.858 0.999 O
0.642 0.535 0.999 O
0.688 0.976 0.480 O
0.750 0.250 0.000 O
0.812 0.524 0.480 O
0.858 0.965 0.999 O
0.965 0.642 0.999 O
0.976 0.812 0.480 O